# BaPr4Tl5

BaPr4Tl5 after structural relaxation (PBE-GGA, Alexandria).

Summary:
The calculated formation energy is -0.3871 eV per atom. The value obtained for the electronic total energy is -36.743 eV per formula unit. The crystal system is tetragonal.

Lattice parameters (Å, degrees): 3.9860 3.9860 20.1827 90.00 90.00 90.00
Space group P4/mmm (No. 123)
Asymmetric unit:
Ba (0.0000, 0.0000, 0.0000) x1
Pr (0.0000, 0.0000, 0.2113) x2
Pr (0.0000, 0.0000, 0.4042) x2
Tl (0.5000, 0.5000, 0.1198) x2
Tl (0.5000, 0.5000, 0.3093) x2
Tl (0.5000, 0.5000, 0.5000) x1